The following is a DFT calculation (PBE) of ScPaCuRu after structural relaxation.

Calculated values
The value obtained for the total energy is -30.223 eV for the cell shown. Its energy of formation from the pure elements is -255.9 meV/atom. The value obtained for the volume is 18.84 A^3/atom.

extended XYZ file:
```
4
Lattice="4.741 0.000 0.000 2.371 4.106 0.000 2.371 1.369 3.871" Properties=species:S:1:pos:R:3 pbc="T T T"
Ru 7.112 4.106 2.903
Sc 0.000 0.000 0.000
Cu 2.371 1.369 0.968
Pa 4.741 2.737 1.936
```

The following is a DFT calculation (PBE) of BaMg4Ru after structural relaxation.

Calculated values
The value obtained for the total energy is -15.478 eV for the cell shown. Its energy of formation from the pure elements is 349.9 meV/atom. The value obtained for the volume is 23.93 A^3/atom.

extended XYZ file:
```
6
Lattice="0.000 4.156 4.156 4.156 0.000 4.156 4.156 4.156 0.000" Properties=species:S:1:pos:R:3 pbc="T T T"
Mg 3.133 5.179 5.179
Mg 3.133 3.133 3.133
Mg 5.179 5.179 3.133
Mg 5.179 3.133 5.179
Ba 0.000 0.000 0.000
Ru 6.234 6.234 6.234
```

The following is a DFT calculation (PBE) of LuBO3 after structural relaxation.

Calculated values
The value obtained for the total energy is -83.644 eV for the cell shown. For the uncorrected formation energy, the calculation gives -3.1498 eV/atom. The value obtained for the volume is 11.35 A^3/atom.

extended XYZ file:
```
10
Lattice="-3.095 -0.454 5.246 -5.853 -1.227 1.240 -2.726 -4.703 2.785" Properties=species:S:1:pos:R:3 pbc="T T T"
O -6.526 -5.319 4.667
O -7.994 -2.605 4.687
O -5.148 -1.065 4.604
O -5.910 -3.248 6.869
O -5.765 -3.136 2.401
O -3.680 -3.779 4.583
B -8.756 -4.788 6.953
B -2.919 -1.596 2.318
Lu 0.000 0.000 0.000
Lu -5.837 -3.192 4.635
```